Entry 1:
{
  "formula": "PdPtSeI2",
  "functional": "PBE-GGA",
  "state": "relaxed",
  "lattice_angstrom": [[5.7348, 0.0000, 0.0000], [0.0000, 5.7348, 0.0000], [0.0000, 0.0000, 4.6389]],
  "species": ["Pd", "Pt", "Se", "I", "I"],
  "fractional_positions": [[0.0000, 0.0000, 0.0000], [0.5000, 0.5000, 0.0000], [0.0000, 0.0000, 0.5000], [0.0000, 0.5000, 0.5000], [0.5000, 0.0000, 0.5000]],
  "magnetic_moment_mub_per_fu": 0.95,
  "formation_energy_uncorrected_ev_per_atom": 0.980,
  "dft_energy_ev_per_cell": -12.9
}

***

Entry 2:
{
  "formula": "Be4TlTe3O12",
  "functional": "PBE-GGA",
  "state": "relaxed",
  "lattice_angstrom": [[5.1089, 2.9496, 2.8765], [-5.1089, 2.9496, 2.8765], [0.0000, -5.8992, 2.8765]],
  "species": ["Be", "Be", "Be", "Be", "Tl", "Te", "Te", "Te", "O", "O", "O", "O", "O", "O", "O", "O", "O", "O", "O", "O"],
  "fractional_positions": [[0.0000, 0.0000, 0.0000], [0.0000, 0.4413, 0.5587], [0.4413, 0.5587, 0.0000], [0.5587, 0.0000, 0.4413], [0.5000, 0.5000, 0.5000], [0.0502, 0.9498, 0.5000], [0.5000, 0.0502, 0.9498], [0.9498, 0.5000, 0.0502], [0.0000, 0.5962, 0.4038], [0.0000, 0.8456, 0.1544], [0.0940, 0.2491, 0.4970], [0.1544, 0.0000, 0.8456], [0.2491, 0.4970, 0.0940], [0.4038, 0.0000, 0.5962], [0.4970, 0.0940, 0.2491], [0.5030, 0.7509, 0.9060], [0.5962, 0.4038, 0.0000], [0.7509, 0.9060, 0.5030], [0.8456, 0.1544, 0.0000], [0.9060, 0.5030, 0.7509]],
  "magnetic_moment_mub_per_fu": 0.00,
  "formation_energy_uncorrected_ev_per_atom": -1.483,
  "dft_energy_ev_per_cell": -115.9
}

***

Entry 3:
{
  "formula": "Mn2GaPt8",
  "functional": "PBE-GGA",
  "state": "relaxed",
  "lattice_angstrom": [[-2.0601, 3.6711, 5.6751], [2.0601, -3.6711, 5.6751], [2.0601, 3.6711, -5.6751]],
  "species": ["Mn", "Mn", "Ga", "Pt", "Pt", "Pt", "Pt", "Pt", "Pt", "Pt", "Pt"],
  "fractional_positions": [[0.1948, 0.1948, 0.0000], [0.8052, 0.8052, 0.0000], [0.5000, 0.5000, 0.0000], [0.0614, 0.3400, 0.7214], [0.1843, 0.0000, 0.1843], [0.3616, 0.8616, 0.5000], [0.3815, 0.6600, 0.7214], [0.6185, 0.3400, 0.2786], [0.6384, 0.1384, 0.5000], [0.8157, 0.0000, 0.8157], [0.9386, 0.6600, 0.2786]],
  "ef_ev_per_atom": -0.266,
  "magnetic_moment_mub_per_fu": 7.56,
  "dft_energy_ev_per_cell": -72.6
}